# 1
Entry from the Alexandria database: SiPdAu after structural relaxation (GGA-PBE).

Cell lengths 3.302, 3.302, 19.060 Å; angles 90.00, 90.00, 90.00 degrees
Space group I4/mmm (No. 139)
Asymmetric unit:
Si1 0.000 0.000 0.207 x4
Pd1 0.000 0.000 0.337 x4
Au1 0.000 0.000 0.070 x4

Properties
Electronic total energy: -4.787 eV/atom

# 2
Entry from the Alexandria database: AcPtAu4 after structural relaxation (GGA-PBE).

Cell lengths 7.959, 7.959, 7.959 Å; angles 90.00, 90.00, 90.00 degrees
Space group F-43m (No. 216)
Asymmetric unit:
Ac1 0.000 0.000 0.000 x4
Pt1 0.250 0.250 0.750 x4
Au1 0.124 0.124 0.376 x16

Properties
Formation enthalpy at 0 K: -0.441 eV per atom

# 3
Entry from the Alexandria database: LiVRe2As after structural relaxation (GGA-PBE).

Cell lengths 4.477, 4.477, 4.541 Å; angles 90.00, 90.00, 90.00 degrees
Space group P4/mmm (No. 123)
Asymmetric unit:
Li1 0.000 0.000 0.000 x1
V1 0.000 0.000 0.500 x1
Re1 0.000 0.500 0.500 x2
As1 0.500 0.500 0.000 x1

Properties
Formation enthalpy at 0 K: 1.473 eV per atom

# 4
Entry from the Alexandria database: Ce3PuNp4P8 after structural relaxation (GGA-PBE).

Cell lengths 8.0205, 8.0205, 19.6607 Å; angles 90.00, 90.00, 120.00 degrees
Space group R-3m (No. 166, hexagonal axes)
Asymmetric unit:
Ce1 0.0000 0.5000 0.0000 x9
Pu1 0.0000 0.0000 0.0000 x3
Np1 0.0000 0.0000 0.5000 x3
Np2 0.0000 0.5000 0.5000 x9
P1 0.0000 0.0000 0.2469 x6
P2 0.0032 0.5016 0.7529 x18

Properties
Formation enthalpy at 0 K: -1.118 eV per atom

# 5
Entry from the Alexandria database: SrAgN after structural relaxation (GGA-PBE).

Cell lengths 4.065, 5.368, 6.386 Å; angles 102.27, 108.50, 90.09 degrees
Space group P1 (No. 1)
Asymmetric unit:
Sr1 0.000 0.000 0.000 x1
Sr2 0.172 0.660 0.349 x1
Ag1 0.430 0.484 0.861 x1
Ag2 0.774 0.216 0.551 x1
N1 0.628 0.931 0.257 x1
N2 0.954 0.461 0.911 x1

Properties
Electronic total energy: -4.350 eV/atom

# 6
Entry from the Alexandria database: SrBi4Pd after structural relaxation (GGA-PBE).

Cell lengths 5.390, 7.618, 10.063 Å; angles 81.97, 74.65, 89.36 degrees
Space group P-1 (No. 2)
Asymmetric unit:
Sr1 0.250 0.250 0.000 x2
Bi1 0.060 0.181 0.380 x2
Bi2 0.148 0.602 0.210 x2
Bi3 0.353 0.898 0.790 x2
Bi4 0.439 0.319 0.620 x2
Pd1 0.000 0.500 0.500 x1
Pd2 0.500 0.000 0.500 x1

Properties
Formation enthalpy at 0 K: -0.287 eV per atom